Compound: NaInAg
Source: Alexandria via LeMat-Bulk
Functional: GGA-PBE
Structure: relaxed

Output
SG: No. 107
Formation energy (kcal/mol of atoms): -1.25

Cell: 6.2578 6.2578 6.2578 Å, 147.46 147.46 46.69°
With the nearest neighbours (Å) after each atom.
Positions (direct):
Na 0.0000 0.0000 0.0000  4 Ag 3.16, 5 In 3.33-3.52, 4 Na 3.51
In 0.6937 0.6937 0.0000  4 Ag 2.93
Ag 0.3300 0.3300 0.0000  4 In 2.93, 4 Na 3.16